Material: Li2CrO4
Method: DFT, PBE with a Hubbard U
State: optimized geometry

POSCAR file:
```
Li2CrO4
1.0
-2.407 5.462 0.088
-3.133 -4.470 -2.419
0.437 -1.559 6.051
Li O Cr
4 8 2
Direct
0.143 0.857 0.250
0.488 0.512 0.750
0.512 0.488 0.250
0.857 0.143 0.750
0.815 0.241 0.049
0.759 0.185 0.451
0.185 0.759 0.951
0.773 0.735 0.617
0.227 0.265 0.383
0.265 0.227 0.883
0.735 0.773 0.117
0.241 0.815 0.549
0.879 0.121 0.250
0.121 0.879 0.750
```

Calculated values
Total magnetic moment in μB/f.u.: 0.00
Excess energy over the best structure of this formula in the dataset in eV per atom: 0.059
Total DFT energy (no corrections) in eV/atom: -6.10